No. 1
# Tb2Nd6Ho3

A relaxed structure of Tb2Nd6Ho3 (PBE-GGA, Alexandria).

Results
- Polymorph energy (0 for the lowest one): 0.00 eV/f.u.

Cell and atoms, written as extended XYZ:
```
11
Lattice="6.263 0.000 0.000 -2.071 7.791 0.000 -1.034 -2.781 7.534" Properties=species:S:1:pos:R:3 pbc="T T T"
Tb 0.535 3.071 0.350
Tb 2.623 1.938 7.184
Nd -1.540 4.177 3.076
Nd 0.521 -0.280 1.732
Nd -0.491 3.604 6.518
Nd 3.649 1.406 1.016
Nd 2.637 5.289 5.802
Nd 4.697 0.832 4.458
Ho 1.572 -0.821 5.140
Ho 1.579 2.505 3.767
Ho 1.586 5.830 2.394
```

No. 2
# TbNdHo

A relaxed structure of TbNdHo (PBE-GGA, Alexandria).

Results
- Polymorph energy (0 for the lowest one): 0.00 eV/f.u.

Cell and atoms, written as extended XYZ:
```
3
Lattice="-1.796 1.796 7.608 1.796 -1.796 7.608 1.796 1.796 -7.608" Properties=species:S:1:pos:R:3 pbc="T T T"
Tb 0.000 0.000 0.000
Nd 0.000 0.000 5.035
Ho 0.000 0.000 10.090
```

What did we get for ΔE_f? Answer: 0.02 0.02 eV per atom, in the order shown.